# 1
First-principles (PBE) data for an optimized crystal structure of NaCr3Mo, as listed in Alexandria via LeMat-Bulk.

Cell: 4.795 4.795 4.795 Å, 90.00 90.00 90.00°
Fractional positions:
Na 0.000 0.000 0.000
Cr 0.000 0.500 0.500
Cr 0.500 0.000 0.500
Cr 0.500 0.500 0.000
Mo 0.500 0.500 0.500

Summary:
SG ... Pm-3m, No. 221

# 2
First-principles (PBE) data for an optimized crystal structure of Na2CrMo, as listed in Alexandria via LeMat-Bulk.

Cell: 4.675 4.675 4.675 Å, 60.00 60.00 60.00°
Fractional positions:
Na 0.250 0.250 0.250
Na 0.750 0.750 0.750
Cr 0.000 0.000 0.000
Mo 0.500 0.500 0.500

Summary:
SG ... Fm-3m, No. 225

# 3
First-principles (PBE) data for an optimized crystal structure of NaCrMo2, as listed in Alexandria via LeMat-Bulk.

Cell: 4.404 4.404 4.404 Å, 60.00 60.00 60.00°
Fractional positions:
Na 0.000 0.000 0.000
Cr 0.500 0.500 0.500
Mo 0.250 0.250 0.250
Mo 0.750 0.750 0.750

Summary:
SG ... Fm-3m, No. 225

no.,D(E_F) (states/eV/cell),distance to the lowest polymorph of the same formula (meV/atom),calculated formation energy (eV/atom)
1,2.34,0,1.28
2,9.38,650,2.01
3,4.25,0,1.01